Material: MgTiCr2Co
Method: DFT, PBE
State: optimized geometry

Summary:
The volume is 17.0 A^3/atom. The calculation puts the formation energy from the elements at 1648 meV/atom. The total moment comes out at 0.002 μB/atom.

Cell: 4.157 4.157 4.915 Å, 90.00 90.00 90.00°
Space group P4/mmm (No. 123)
Symmetry-distinct sites (fractional):
Mg  0.000  0.000  0.000 x1
Ti  0.000  0.000  0.500 x1
Cr  0.000  0.500  0.500 x2
Co  0.500  0.500  0.000 x1